No. 1
A relaxed structure of Pu2CrAu, computed with GGA-PBE.

Cell and atoms, written as POSCAR:
```
Pu2CrAu
1.0
-2.317 -0.084 -2.135
0.096 -3.151 0.020
-5.639 -0.133 6.126
Cr Au Pu
1 1 2
Direct
0.500 0.500 0.000 Cr
0.500 0.500 0.500 Au
0.000 0.000 0.775 Pu
0.000 0.000 0.225 Pu
```

Magnetic moment: 2.133 μB/atom
Energy relative to the elements: -0.01 eV per atom
E: -41.6 eV/cell
Symmetry: No. 123


No. 2
A relaxed structure of Pm2Dy4HoEr2, computed with GGA-PBE.

Cell and atoms, written as POSCAR:
```
Pm2Dy4HoEr2
1.0
-2.437 6.094 -1.698
-7.871 0.828 -5.862
-0.423 -2.934 5.907
Pm Dy Ho Er
2 4 1 2
Direct
0.269 0.658 0.603 Pm
0.731 0.342 0.397 Pm
0.740 0.885 0.201 Dy
0.618 0.761 0.507 Dy
0.260 0.115 0.799 Dy
0.382 0.239 0.493 Dy
0.000 0.000 0.000 Ho
0.821 0.444 0.036 Er
0.179 0.556 0.964 Er
```

Magnetic moment: 0.000 μB/atom
Energy relative to the elements: 0.09 eV per atom
E: -40.8 eV/cell
Symmetry: No. 2